# GGA+U TmNpCrO6, relaxed
# Uncorrected energy (eV per formula unit): -78.23
data_TmNpCrO6
_cell_length_a 5.5247
_cell_length_b 5.5247
_cell_length_c 8.6979
_cell_angle_alpha 90.00
_cell_angle_beta 90.00
_cell_angle_gamma 120.00
_space_group_name_H-M_alt 'P -3 1 c'
_space_group_IT_number 163
_space_group_name_Hall '-P 3 2c'
loop_
_atom_site_label
_atom_site_fract_x
_atom_site_fract_y
_atom_site_fract_z
Tm1 0.3333 0.6667 0.2500
Np1 0.3333 0.6667 0.7500
Cr1 0.0000 0.0000 0.0000
O1 0.0221 0.3353 0.6252